Pr2Sc2CI2Br3 | PBE | relaxed

Computed properties:
relative energy among the computed polymorphs: 0.67 eV per formula unit

a b c (Å): 9.4081 9.4081 8.2382
angles (deg): 102.37 102.37 23.53
Last column: nearest neighbours and their distance in Å.
Element x y z (fractional)
Pr: 0.1393 0.1393 0.0739  1 C 2.50
Pr: 0.8607 0.8607 0.9261  1 C 2.50
Sc: 0.4996 0.4996 0.1838  2 C 2.44
Sc: 0.5004 0.5004 0.8162  2 C 2.44
C: 0.0000 0.0000 0.0000  4 Sc 2.44, 2 Pr 2.50
I: 0.3358 0.3358 0.2119  1 Sc 3.08, 2 Pr 3.15
I: 0.6642 0.6642 0.7881  1 Sc 3.08, 2 Pr 3.15
Br: 0.0000 0.0000 0.5000  4 Sc 3.23
Br: 0.3530 0.3530 0.6516  1 Sc 2.76, 2 Pr 2.94
Br: 0.6470 0.6470 0.3484  1 Sc 2.76, 2 Pr 2.94

***

Pr2Sc2CI2Br3 | PBE | relaxed

Computed properties:
relative energy among the computed polymorphs: 0.84 eV per formula unit

a b c (Å): 9.2672 9.2672 8.2747
angles (deg): 103.02 103.02 23.97
Last column: nearest neighbours and their distance in Å.
Element x y z (fractional)
Pr: 0.1412 0.1412 0.0684  1 C 2.49
Pr: 0.8588 0.8588 0.9316  1 C 2.49
Sc: 0.4997 0.4997 0.1834  2 C 2.45
Sc: 0.5003 0.5003 0.8166  2 C 2.45
C: 0.0000 0.0000 0.0000  4 Sc 2.45, 2 Pr 2.49
I: 0.3402 0.3402 0.6309  1 Sc 2.96, 2 Pr 3.10
I: 0.6598 0.6598 0.3691  1 Sc 2.96, 2 Pr 3.10
Br: 0.0000 0.0000 0.5000  4 Sc 3.25
Br: 0.3418 0.3418 0.1949  1 Sc 2.89, 2 Pr 2.98
Br: 0.6582 0.6582 0.8051  1 Sc 2.89, 2 Pr 2.98

***

Pr2Sc2CIBr4 | PBE | relaxed

Computed properties:
relative energy among the computed polymorphs: 0.00 eV per formula unit

a b c (Å): 9.2995 9.2995 9.0129
angles (deg): 102.82 102.82 23.85
Last column: nearest neighbours and their distance in Å.
Element x y z (fractional)
Pr: 0.0002 0.0002 0.1964  2 C 2.61
Pr: 0.9998 0.9998 0.8036  2 C 2.61
Sc: 0.3727 0.3727 0.9404  1 C 2.26
Sc: 0.6273 0.6273 0.0596  1 C 2.26
C: 0.5000 0.5000 0.0000  2 Sc 2.26
I: 0.5000 0.5000 0.5000  4 Pr 3.34
Br: 0.1692 0.1692 0.2825  2 Sc 2.76, 1 Pr 3.00
Br: 0.1696 0.1696 0.8725  2 Sc 2.78, 1 Pr 3.01
Br: 0.8304 0.8304 0.1275  2 Sc 2.78, 1 Pr 3.01
Br: 0.8308 0.8308 0.7175  2 Sc 2.76, 1 Pr 3.00

***

Pr2Sc2CIBr4 | PBE | relaxed

Computed properties:
relative energy among the computed polymorphs: 0.40 eV per formula unit

a b c (Å): 9.0979 9.0979 8.2330
angles (deg): 103.79 103.79 24.26
Last column: nearest neighbours and their distance in Å.
Element x y z (fractional)
Pr: 0.1446 0.1446 0.0760  1 C 2.50
Pr: 0.8554 0.8554 0.9240  1 C 2.50
Sc: 0.5004 0.5004 0.1822  2 C 2.43
Sc: 0.4996 0.4996 0.8178  2 C 2.43
C: 0.0000 0.0000 0.0000  4 Sc 2.43, 2 Pr 2.50
I: 0.0000 0.0000 0.5000  4 Sc 3.24
Br: 0.3383 0.3383 0.1926  1 Sc 2.91, 2 Pr 2.99
Br: 0.3438 0.3438 0.6473  1 Sc 2.79, 2 Pr 2.94
Br: 0.6562 0.6562 0.3527  1 Sc 2.79, 2 Pr 2.94
Br: 0.6617 0.6617 0.8074  1 Sc 2.91, 2 Pr 2.99

***

Pr2Sc2CI2Br3 | PBE | relaxed

Computed properties:
relative energy among the computed polymorphs: 0.00 eV per formula unit

a b c (Å): 9.9365 9.9365 8.5365
angles (deg): 101.46 101.46 22.46
Last column: nearest neighbours and their distance in Å.
Element x y z (fractional)
Pr: 0.0009 0.0009 0.2075  2 C 2.62
Pr: 0.9991 0.9991 0.7925  2 C 2.62
Sc: 0.3816 0.3816 0.9436  1 C 2.26
Sc: 0.6184 0.6184 0.0564  1 C 2.26
C: 0.5000 0.5000 0.0000  2 Sc 2.26
I: 0.1665 0.1665 0.8392  2 Sc 2.96, 1 Pr 3.21
I: 0.8335 0.8335 0.1608  2 Sc 2.96, 1 Pr 3.21
Br: 0.1589 0.1589 0.2896  2 Sc 2.77, 1 Pr 3.02
Br: 0.5000 0.5000 0.5000  4 Pr 3.16
Br: 0.8411 0.8411 0.7104  2 Sc 2.77, 1 Pr 3.02

***

Pr2Sm2CI3Br2 | PBE | relaxed

Computed properties:
relative energy among the computed polymorphs: 0.05 eV per formula unit

a b c (Å): 9.5651 9.5651 8.9397
angles (deg): 102.21 102.21 24.50
Last column: nearest neighbours and their distance in Å.
Element x y z (fractional)
Pr: 0.0022 0.0022 0.3048  2 C 2.68
Pr: 0.9978 0.9978 0.6952  2 C 2.68
Sm: 0.3638 0.3638 0.4357  1 C 2.49
Sm: 0.6362 0.6362 0.5643  1 C 2.49
C: 0.5000 0.5000 0.5000  2 Sm 2.49, 4 Pr 2.68
I: 0.1706 0.1706 0.8352  2 Sm 3.12, 1 Pr 3.20
I: 0.5000 0.5000 0.0000  4 Pr 3.39
I: 0.8294 0.8294 0.1648  2 Sm 3.12, 1 Pr 3.20
Br: 0.1707 0.1707 0.3464  2 Sm 2.98, 1 Pr 3.09
Br: 0.8293 0.8293 0.6536  2 Sm 2.98, 1 Pr 3.09

***

Pr2Sm2CIBr4 | PBE | relaxed

Computed properties:
relative energy among the computed polymorphs: 0.00 eV per formula unit

a b c (Å): 9.3768 9.3768 8.8862
angles (deg): 103.05 103.05 24.73
Last column: nearest neighbours and their distance in Å.
Element x y z (fractional)
Pr: 0.0013 0.0013 0.3036  2 C 2.66
Pr: 0.9987 0.9987 0.6964  2 C 2.66
Sm: 0.3609 0.3609 0.4294  1 C 2.48
Sm: 0.6391 0.6391 0.5706  1 C 2.48
C: 0.5000 0.5000 0.5000  2 Sm 2.48, 4 Pr 2.66
I: 0.5000 0.5000 0.0000  4 Pr 3.36
Br: 0.1671 0.1671 0.8184  2 Sm 2.94, 1 Pr 3.02
Br: 0.1731 0.1731 0.3485  2 Sm 2.98, 1 Pr 3.08
Br: 0.8269 0.8269 0.6515  2 Sm 2.98, 1 Pr 3.08
Br: 0.8329 0.8329 0.1816  2 Sm 2.94, 1 Pr 3.02

***

Pr2Sm2CI3Br2 | PBE | relaxed

Computed properties:
relative energy among the computed polymorphs: 0.10 eV per formula unit

a b c (Å): 9.5584 9.5584 8.7608
angles (deg): 102.62 102.62 24.39
Last column: nearest neighbours and their distance in Å.
Element x y z (fractional)
Pr: 0.1397 0.1397 0.0664  1 C 2.54
Pr: 0.8603 0.8603 0.9336  1 C 2.54
Sm: 0.4984 0.4984 0.1931  2 C 2.64
Sm: 0.5016 0.5016 0.8069  2 C 2.64
C: 0.0000 0.0000 0.0000  2 Pr 2.54, 4 Sm 2.64
I: 0.0000 0.0000 0.5000  4 Sm 3.36
I: 0.3324 0.3324 0.6489  1 Sm 3.15, 2 Pr 3.16
I: 0.6676 0.6676 0.3511  1 Sm 3.15, 2 Pr 3.16
Br: 0.3330 0.3330 0.1725  2 Pr 3.03, 1 Sm 3.06
Br: 0.6670 0.6670 0.8275  2 Pr 3.03, 1 Sm 3.06

***

Pr2Sm2CIBr4 | PBE | relaxed

Computed properties:
relative energy among the computed polymorphs: 0.02 eV per formula unit

a b c (Å): 9.3831 9.3831 8.6761
angles (deg): 103.40 103.40 24.51
Last column: nearest neighbours and their distance in Å.
Element x y z (fractional)
Pr: 0.1425 0.1425 0.0742  1 C 2.54
Pr: 0.8575 0.8575 0.9258  1 C 2.54
Sm: 0.4992 0.4992 0.1941  2 C 2.61
Sm: 0.5008 0.5008 0.8059  2 C 2.61
C: 0.0000 0.0000 0.0000  2 Pr 2.54, 4 Sm 2.61
I: 0.0000 0.0000 0.5000  4 Sm 3.32
Br: 0.3315 0.3315 0.1711  1 Sm 3.03, 3 Pr 3.03-3.37
Br: 0.3373 0.3373 0.6632  1 Sm 2.96, 2 Pr 2.98
Br: 0.6627 0.6627 0.3368  1 Sm 2.96, 2 Pr 2.98
Br: 0.6685 0.6685 0.8289  1 Sm 3.03, 3 Pr 3.03-3.37

***

Pr2Sm2C2I2Br3 | PBE | relaxed

a b c (Å): 10.2214 10.2214 8.4061
angles (deg): 102.88 102.88 22.49
Last column: nearest neighbours and their distance in Å.
Element x y z (fractional)
Pr: 0.0004 0.0004 0.2022  4 C 2.70-2.72
Pr: 0.9996 0.9996 0.7978  4 C 2.70-2.72
Sm: 0.3498 0.3498 0.9057  1 C 2.23
Sm: 0.6502 0.6502 0.0943  1 C 2.23
C: 0.4641 0.4641 0.9790  1 C 1.40
C: 0.5359 0.5359 0.0210  1 C 1.40
I: 0.1695 0.1695 0.8169  3 Sm 3.16-3.52, 1 Pr 3.37
I: 0.8305 0.8305 0.1831  3 Sm 3.16-3.52, 1 Pr 3.37
Br: 0.1579 0.1579 0.3520  2 Sm 2.92, 1 Pr 3.12
Br: 0.5000 0.5000 0.5000  4 Pr 3.20
Br: 0.8421 0.8421 0.6480  2 Sm 2.92, 1 Pr 3.12

***

Pr2Sm2CI3Br2 | PBE | relaxed

Computed properties:
relative energy among the computed polymorphs: 0.00 eV per formula unit

a b c (Å): 9.7554 9.7554 8.8696
angles (deg): 102.84 102.84 23.99
Last column: nearest neighbours and their distance in Å.
Element x y z (fractional)
Pr: 0.9999 0.9999 0.1971  2 C 2.68
Pr: 0.0001 0.0001 0.8029  2 C 2.68
Sm: 0.3659 0.3659 0.9290  1 C 2.49
Sm: 0.6341 0.6341 0.0710  1 C 2.49
C: 0.5000 0.5000 0.0000  2 Sm 2.49, 4 Pr 2.68
I: 0.1727 0.1727 0.8278  2 Sm 3.17, 1 Pr 3.25
I: 0.5000 0.5000 0.5000  4 Pr 3.37
I: 0.8273 0.8273 0.1722  2 Sm 3.17, 1 Pr 3.25
Br: 0.1615 0.1615 0.3192  2 Sm 2.95, 1 Pr 3.03
Br: 0.8385 0.8385 0.6808  2 Sm 2.95, 1 Pr 3.03

***

Pr2Y2CI3Br2 | PBE | relaxed

Computed properties:
relative energy among the computed polymorphs: 0.03 eV per formula unit

a b c (Å): 9.6259 9.6259 8.5919
angles (deg): 102.85 102.85 23.84
Last column: nearest neighbours and their distance in Å.
Element x y z (fractional)
Pr: 0.1386 0.1386 0.0743  1 C 2.54
Pr: 0.8614 0.8614 0.9257  1 C 2.54
Y: 0.5000 0.5000 0.1906  2 C 2.58
Y: 0.5000 0.5000 0.8094  2 C 2.58
C: 0.0000 0.0000 0.0000  2 Pr 2.54, 4 Y 2.58
I: 0.0000 0.0000 0.5000  4 Y 3.32
I: 0.3322 0.3322 0.1963  1 Y 3.17, 2 Pr 3.20
I: 0.6678 0.6678 0.8037  1 Y 3.17, 2 Pr 3.20
Br: 0.3456 0.3456 0.6600  1 Y 2.90, 2 Pr 2.99
Br: 0.6544 0.6544 0.3400  1 Y 2.90, 2 Pr 2.99

***

Pr2Y2CIBr4 | PBE | relaxed

Computed properties:
relative energy among the computed polymorphs: 0.06 eV per formula unit

a b c (Å): 9.2888 9.2888 8.5496
angles (deg): 103.50 103.50 24.38
Last column: nearest neighbours and their distance in Å.
Element x y z (fractional)
Pr: 0.1436 0.1436 0.0748  1 C 2.53
Pr: 0.8564 0.8564 0.9252  1 C 2.53
Y: 0.4995 0.4995 0.1911  2 C 2.55
Y: 0.5005 0.5005 0.8089  2 C 2.55
C: 0.0000 0.0000 0.0000  2 Pr 2.53, 4 Y 2.55
I: 0.0000 0.0000 0.5000  4 Y 3.29
Br: 0.3342 0.3342 0.1798  1 Y 2.98, 2 Pr 3.03
Br: 0.3398 0.3398 0.6569  1 Y 2.90, 2 Pr 2.98
Br: 0.6602 0.6602 0.3431  1 Y 2.90, 2 Pr 2.98
Br: 0.6658 0.6658 0.8202  1 Y 2.98, 2 Pr 3.03

***

Pr2Y2CIBr4 | PBE | relaxed

Computed properties:
relative energy among the computed polymorphs: 0.00 eV per formula unit

a b c (Å): 9.2782 9.2782 8.9146
angles (deg): 102.78 102.78 24.69
Last column: nearest neighbours and their distance in Å.
Element x y z (fractional)
Pr: 0.0011 0.0011 0.3035  2 C 2.65
Pr: 0.9989 0.9989 0.6965  2 C 2.65
Y: 0.3631 0.3631 0.4317  1 C 2.42
Y: 0.6369 0.6369 0.5683  1 C 2.42
C: 0.5000 0.5000 0.5000  2 Y 2.42, 4 Pr 2.65
I: 0.5000 0.5000 0.0000  4 Pr 3.35
Br: 0.1692 0.1692 0.8072  2 Y 2.87, 1 Pr 3.02
Br: 0.1742 0.1742 0.3567  2 Y 2.92, 1 Pr 3.07
Br: 0.8258 0.8258 0.6433  2 Y 2.92, 1 Pr 3.07
Br: 0.8308 0.8308 0.1928  2 Y 2.87, 1 Pr 3.02

***

Pr2Y2CI3Br2 | PBE | relaxed

Computed properties:
relative energy among the computed polymorphs: 0.00 eV per formula unit

a b c (Å): 9.5087 9.5087 8.9475
angles (deg): 102.41 102.41 24.45
Last column: nearest neighbours and their distance in Å.
Element x y z (fractional)
Pr: 0.0018 0.0018 0.3047  2 C 2.67
Pr: 0.9982 0.9982 0.6953  2 C 2.67
Y: 0.3668 0.3668 0.4368  1 C 2.42
Y: 0.6332 0.6332 0.5632  1 C 2.42
C: 0.5000 0.5000 0.5000  2 Y 2.42, 4 Pr 2.67
I: 0.1736 0.1736 0.8262  2 Y 3.06, 1 Pr 3.21
I: 0.5000 0.5000 0.0000  4 Pr 3.38
I: 0.8264 0.8264 0.1738  2 Y 3.06, 1 Pr 3.21
Br: 0.1713 0.1713 0.3582  2 Y 2.91, 1 Pr 3.08
Br: 0.8287 0.8287 0.6418  2 Y 2.91, 1 Pr 3.08

***

Sm2Sc2CI3Br2 | PBE | relaxed

Computed properties:
relative energy among the computed polymorphs: 0.00 eV per formula unit

a b c (Å): 10.2543 10.2543 8.6980
angles (deg): 101.52 101.52 21.69
Last column: nearest neighbours and their distance in Å.
Element x y z (fractional)
Sm: 0.0001 0.0001 0.1950  2 C 2.57
Sm: 0.9999 0.9999 0.8050  2 C 2.57
Sc: 0.3866 0.3866 0.9499  1 C 2.24
Sc: 0.6134 0.6134 0.0501  1 C 2.24
C: 0.5000 0.5000 0.0000  2 Sc 2.24
I: 0.1599 0.1599 0.3039  2 Sc 2.94, 1 Sm 3.16
I: 0.5000 0.5000 0.5000  4 Sm 3.28
I: 0.8401 0.8401 0.6961  2 Sc 2.94, 1 Sm 3.16
Br: 0.1503 0.1503 0.8556  2 Sc 2.77, 1 Sm 2.97
Br: 0.8497 0.8497 0.1444  2 Sc 2.77, 1 Sm 2.97

***

Sm2Sc2CI3Br2 | PBE | relaxed

Computed properties:
relative energy among the computed polymorphs: 0.43 eV per formula unit

a b c (Å): 9.3815 9.3815 8.2794
angles (deg): 102.04 102.04 23.75
Last column: nearest neighbours and their distance in Å.
Element x y z (fractional)
Sm: 0.1356 0.1356 0.0716  1 C 2.43
Sm: 0.8644 0.8644 0.9284  1 C 2.43
Sc: 0.4992 0.4992 0.1796  2 C 2.44
Sc: 0.5008 0.5008 0.8204  2 C 2.44
C: 0.0000 0.0000 0.0000  2 Sm 2.43, 4 Sc 2.44
I: 0.0000 0.0000 0.5000  4 Sc 3.28
I: 0.3330 0.3330 0.1989  1 Sc 3.09, 2 Sm 3.10
I: 0.6670 0.6670 0.8011  1 Sc 3.09, 2 Sm 3.10
Br: 0.3502 0.3502 0.6629  1 Sc 2.79, 2 Sm 2.90
Br: 0.6498 0.6498 0.3371  1 Sc 2.79, 2 Sm 2.90

***

Sm2Sc2CI3Br2 | PBE | relaxed

Computed properties:
relative energy among the computed polymorphs: 0.57 eV per formula unit

a b c (Å): 9.2767 9.2767 8.3124
angles (deg): 103.08 103.08 24.08
Last column: nearest neighbours and their distance in Å.
Element x y z (fractional)
Sm: 0.1373 0.1373 0.0666  1 C 2.42
Sm: 0.8627 0.8627 0.9334  1 C 2.42
Sc: 0.4994 0.4994 0.1792  2 C 2.44
Sc: 0.5006 0.5006 0.8208  2 C 2.44
C: 0.0000 0.0000 0.0000  2 Sm 2.42, 4 Sc 2.44
I: 0.0000 0.0000 0.5000  4 Sc 3.29
I: 0.3376 0.3376 0.6407  1 Sc 2.99, 2 Sm 3.06
I: 0.6624 0.6624 0.3593  1 Sc 2.99, 2 Sm 3.06
Br: 0.3389 0.3389 0.1806  1 Sc 2.92, 2 Sm 2.93
Br: 0.6611 0.6611 0.8194  1 Sc 2.92, 2 Sm 2.93

***

Sm4C2IBr4 | PBE | relaxed

a b c (Å): 9.8279 9.8279 8.4894
angles (deg): 104.46 104.46 22.98
Last column: nearest neighbours and their distance in Å.
Element x y z (fractional)
Sm: 0.0002 0.0002 0.1910  4 C 2.63-2.64
Sm: 0.9998 0.9998 0.8090  4 C 2.63-2.64
Sm: 0.3431 0.3431 0.9017  1 C 2.22
Sm: 0.6569 0.6569 0.0983  1 C 2.22
C: 0.4623 0.4623 0.9772  1 C 1.41
C: 0.5377 0.5377 0.0228  1 C 1.41
I: 0.5000 0.5000 0.5000  4 Sm 3.27
Br: 0.1611 0.1611 0.3556  3 Sm 2.92-3.06
Br: 0.1681 0.1681 0.8409  4 Sm 2.98-3.28
Br: 0.8319 0.8319 0.1591  4 Sm 2.98-3.28
Br: 0.8389 0.8389 0.6444  3 Sm 2.92-3.06

***

Sm4CIBr4 | PBE | relaxed

a b c (Å): 9.2762 9.2762 8.6827
angles (deg): 103.49 103.49 24.61
Last column: nearest neighbours and their distance in Å.
Element x y z (fractional)
Sm: 0.0008 0.0008 0.3055  2 C 2.60
Sm: 0.3594 0.3594 0.4265  1 C 2.47
Sm: 0.6406 0.6406 0.5735  1 C 2.47
Sm: 0.9992 0.9992 0.6945  2 C 2.60
C: 0.5000 0.5000 0.5000  6 Sm 2.47-2.60
I: 0.5000 0.5000 0.0000  4 Sm 3.31
Br: 0.1657 0.1657 0.8292  3 Sm 2.93-2.96
Br: 0.1706 0.1706 0.3402  4 Sm 2.97-3.32
Br: 0.8294 0.8294 0.6598  4 Sm 2.97-3.32
Br: 0.8343 0.8343 0.1708  3 Sm 2.93-2.96

***

no.,total moment (μB per cell),total DFT energy (no corrections) (Ha/atom)
1,0.02,-0.1896
2,0.01,-0.1890
3,0.00,-0.1949
4,0.19,-0.1934
5,0.04,-0.1921
6,0.31,-0.1788
7,0.20,-0.1845
8,0.31,-0.1786
9,0.38,-0.1844
10,0.01,-0.1985
11,0.29,-0.1789
12,0.05,-0.1914
13,0.31,-0.1971
14,0.02,-0.1973
15,0.23,-0.1915
16,0.24,-0.1892
17,0.08,-0.1876
18,0.13,-0.1871
19,0.01,-0.2000
20,0.31,-0.1842